[1]
Below is ZnPt3 at its PBEsol-relaxed geometry, with properties calculated at the meta-GGA SCAN level.

Values from the calculation:
* formation energy: -0.247 eV/atom
* density of states at the Fermi level: 8.0 states/eV/cell
* crystal system: orthorhombic

Cell lengths 4.5200, 4.6908, 5.5184 Å; angles 90.00, 90.00, 90.00 degrees
Fractional coordinates of all 8 atoms:
1 Pt 0.0000 0.6696 0.5000
2 Pt 0.5000 0.3304 0.0000
3 Pt 0.5000 0.8316 0.2557
4 Pt 0.0000 0.1684 0.7557
5 Pt 0.5000 0.8316 0.7443
6 Pt 0.0000 0.1684 0.2443
7 Zn 0.5000 0.3320 0.5000
8 Zn 0.0000 0.6680 0.0000

=====

[2]
Below is Zn3Pt at its PBEsol-relaxed geometry, with properties calculated at the meta-GGA SCAN level.

Values from the calculation:
* formation energy: -0.338 eV/atom
* density of states at the Fermi level: 1.0 states/eV/cell
* crystal system: orthorhombic

Cell lengths 2.7794, 4.5945, 4.5945 Å; angles 108.66, 90.00, 90.00 degrees
Fractional coordinates of all 4 atoms:
1 Zn 0.5000 0.0000 0.5000
2 Zn 0.0000 0.5000 0.5000
3 Zn 0.5000 0.5000 0.0000
4 Pt 0.0000 0.0000 0.0000